The following is a DFT calculation (PBE) of a geometry-optimized Ba2H2Se structure.

* DFT total energy: -3.88 eV/atom
* DOS at the Fermi energy: 0.000 states/eV/cell
* total magnetization: 0.0 μB/f.u.

Unit cell a=4.5509 b=4.5509 c=15.3958 alpha=90.00 beta=90.00 gamma=120.00
Sites, in units of the cell vectors:
Ba 0.3333 0.6667 0.1186
Ba 0.3333 0.6667 0.3814
Ba 0.6667 0.3333 0.6186
Ba 0.6667 0.3333 0.8814
H 0.3333 0.6667 0.5572
H 0.3333 0.6667 0.9428
H 0.6667 0.3333 0.0572
H 0.6667 0.3333 0.4428
Se 0.0000 0.0000 0.2500
Se 0.0000 0.0000 0.7500


The following is a DFT calculation (PBE) of a geometry-optimized NdLuHgGe structure.

* DFT total energy: -4.07 eV/atom
* DOS at the Fermi energy: 3.287 states/eV/cell
* DFT formation energy: -0.5175 eV per atom
* total magnetization: 0.0 μB/f.u.

Unit cell a=5.1880 b=5.1880 c=5.1880 alpha=60.00 beta=60.00 gamma=60.00
Sites, in units of the cell vectors:
Nd 0.0000 0.0000 0.0000
Lu 0.5000 0.5000 0.5000
Hg 0.7500 0.7500 0.7500
Ge 0.2500 0.2500 0.2500


The following is a DFT calculation (PBE) of a geometry-optimized TlBi2WN structure.

* DFT total energy: -4.17 eV/atom
* E_form (uncorrected): 10.57 eV/f.u.
* DOS at the Fermi energy: 3.280 states/eV/cell
* total magnetization: 3.9 μB/f.u.

Unit cell a=5.9246 b=5.9246 c=3.9667 alpha=90.00 beta=90.00 gamma=90.00
Sites, in units of the cell vectors:
Tl 0.0000 0.0000 0.0000
Bi 0.0000 0.5000 0.0000
Bi 0.5000 0.0000 0.0000
W 0.5000 0.5000 0.5000
N 0.0000 0.0000 0.5000


> DFT total energy of number 2 (NdLuHgGe)?

-4.07 eV/atom


> Which formula does entry 2 have?

NdLuHgGe


> The highest DOS at the Fermi energy belongs to which entry?

NdLuHgGe


> What is the total magnetization in the third record?

3.9 μB/f.u.